FeSiNi2 GGA-PBE relaxed; uncorrected formation energy = -279 meV per atom
1.0
3.847 -1.850 0.000
3.847 1.850 0.000
-3.408 0.000 6.406
Fe Si Ni
2 2 4
Direct
0.152 0.152 0.395
0.848 0.848 0.605
0.444 0.444 0.163
0.556 0.556 0.837
0.000 0.000 0.000
0.224 0.224 0.792
0.500 0.500 0.500
0.776 0.776 0.208


Li2AlTc GGA-PBE relaxed; energy of formation from the pure elements = -18 meV/atom
1.0
2.647 0.000 0.000
0.000 4.756 0.000
-0.277 0.000 4.640
Li Al Tc
2 1 1
Direct
0.226 0.000 0.231
0.774 0.000 0.769
0.000 0.500 0.500
0.500 0.500 0.000


Cs2AlVS4 GGA-PBE relaxed; uncorrected formation energy = -1161 meV per atom
1.0
0.000 7.138 12.514
2.940 0.000 12.514
2.940 7.138 0.000
Cs Al V S
4 2 2 8
Direct
0.051 0.051 0.699
0.301 0.301 0.949
0.699 0.699 0.051
0.949 0.949 0.301
0.375 0.375 0.375
0.625 0.625 0.625
0.125 0.125 0.125
0.875 0.875 0.875
0.008 0.339 0.420
0.267 0.580 0.661
0.339 0.008 0.733
0.420 0.733 0.008
0.580 0.267 0.992
0.661 0.992 0.267
0.733 0.420 0.339
0.992 0.661 0.580